1.
VASP calculation (SCAN) on a crystal of Al13Si5H18ClO38 relaxed with PBEsol.

Structure (POSCAR):
```
Al13Si5H18ClO38
1.0
0.000 6.981 6.981
6.981 0.000 6.981
6.981 6.981 0.000
Al Si H Cl O
13 5 18 1 38
Direct
0.000 0.000 0.000
0.343 0.688 0.984
0.343 0.984 0.688
0.343 0.984 0.984
0.688 0.343 0.984
0.688 0.984 0.343
0.688 0.984 0.984
0.984 0.343 0.688
0.984 0.343 0.984
0.984 0.688 0.343
0.984 0.688 0.984
0.984 0.984 0.343
0.984 0.984 0.688
0.089 0.637 0.637
0.500 0.500 0.500
0.637 0.089 0.637
0.637 0.637 0.089
0.637 0.637 0.637
0.099 0.099 0.401
0.099 0.401 0.099
0.099 0.401 0.401
0.271 0.271 0.618
0.271 0.271 0.840
0.271 0.618 0.271
0.271 0.618 0.840
0.271 0.840 0.271
0.271 0.840 0.618
0.401 0.099 0.099
0.401 0.099 0.401
0.401 0.401 0.099
0.618 0.271 0.271
0.618 0.271 0.840
0.618 0.840 0.271
0.840 0.271 0.271
0.840 0.271 0.618
0.840 0.618 0.271
0.250 0.250 0.250
0.028 0.028 0.472
0.028 0.472 0.028
0.028 0.472 0.472
0.029 0.474 0.749
0.029 0.749 0.474
0.029 0.749 0.749
0.206 0.206 0.650
0.206 0.206 0.939
0.206 0.650 0.206
0.206 0.650 0.939
0.206 0.939 0.206
0.206 0.939 0.650
0.224 0.925 0.925
0.297 0.568 0.568
0.472 0.028 0.028
0.472 0.028 0.472
0.472 0.472 0.028
0.474 0.029 0.749
0.474 0.749 0.029
0.474 0.749 0.749
0.568 0.297 0.568
0.568 0.568 0.297
0.568 0.568 0.568
0.650 0.206 0.206
0.650 0.206 0.939
0.650 0.939 0.206
0.749 0.029 0.474
0.749 0.029 0.749
0.749 0.474 0.029
0.749 0.474 0.749
0.749 0.749 0.029
0.749 0.749 0.474
0.925 0.224 0.925
0.925 0.925 0.224
0.925 0.925 0.925
0.939 0.206 0.206
0.939 0.206 0.650
0.939 0.650 0.206
```

Values from the calculation:
Space group: F-43m
Final energy in eV/cell: -643.1

2.
VASP calculation (SCAN) on a crystal of AlHSCl2 relaxed with PBEsol.

Structure (POSCAR):
```
AlHSCl2
1.0
4.663 0.000 0.000
0.000 4.663 0.000
0.000 0.000 4.605
Al H S Cl
1 1 1 2
Direct
0.000 0.000 0.000
0.500 0.500 0.500
0.000 0.000 0.500
0.000 0.500 0.000
0.500 0.000 0.000
```

Values from the calculation:
Space group: P4/mmm
Final energy in eV/cell: -37.7

3.
VASP calculation (SCAN) on a crystal of Hf2AlCl relaxed with PBEsol.

Structure (POSCAR):
```
Hf2AlCl
1.0
-2.045 2.045 9.776
2.045 -2.045 9.776
2.045 2.045 -9.776
Hf Al Cl
4 2 2
Direct
0.121 0.625 0.996
0.375 0.371 0.496
0.629 0.125 0.004
0.875 0.879 0.504
0.000 0.000 0.000
0.750 0.250 0.500
0.250 0.750 0.500
0.500 0.500 0.000
```

Values from the calculation:
Formation energy from raw total energies in eV per atom: 0.246
Space group: I-42d

4.
VASP calculation (SCAN) on a crystal of Al2HgCl relaxed with PBEsol.

Structure (POSCAR):
```
Al2HgCl
1.0
0.000 3.411 3.411
3.411 0.000 3.411
3.411 3.411 0.000
Al Hg Cl
2 1 1
Direct
0.250 0.250 0.250
0.750 0.750 0.750
0.000 0.000 0.000
0.500 0.500 0.500
```

Values from the calculation:
Formation energy from raw total energies in eV per atom: 0.123
Space group: Fm-3m

5.
VASP calculation (SCAN) on a crystal of Al2HgCl relaxed with PBEsol.

Structure (POSCAR):
```
Al2HgCl
1.0
-2.925 2.925 6.282
2.925 -2.925 6.282
2.925 2.925 -6.282
Al Hg Cl
4 2 2
Direct
0.112 0.625 0.987
0.375 0.362 0.487
0.638 0.125 0.013
0.875 0.888 0.513
0.000 0.000 0.000
0.750 0.250 0.500
0.250 0.750 0.500
0.500 0.500 0.000
```

Values from the calculation:
Formation energy from raw total energies in eV per atom: 0.027
Space group: I-42d

6.
VASP calculation (SCAN) on a crystal of AlHg4Cl relaxed with PBEsol.

Structure (POSCAR):
```
AlHg4Cl
1.0
0.000 4.205 4.205
4.205 0.000 4.205
4.205 4.205 0.000
Al Hg Cl
1 4 1
Direct
0.000 0.000 0.000
0.375 0.375 0.375
0.375 0.375 0.874
0.375 0.874 0.375
0.874 0.375 0.375
0.750 0.750 0.750
```

Values from the calculation:
Formation energy from raw total energies in eV per atom: 0.081
Space group: F-43m

7.
VASP calculation (SCAN) on a crystal of AlHgCl2 relaxed with PBEsol.

Structure (POSCAR):
```
AlHgCl2
1.0
0.000 5.452 5.452
5.452 0.000 5.452
5.452 5.452 0.000
Al Hg Cl
2 2 4
Direct
0.125 0.125 0.125
0.875 0.875 0.875
0.375 0.375 0.375
0.625 0.625 0.625
0.000 0.000 0.000
0.000 0.000 0.500
0.000 0.500 0.000
0.500 0.000 0.000
```

Values from the calculation:
Formation energy from raw total energies in eV per atom: -0.658
Space group: Fd-3m

8.
VASP calculation (SCAN) on a crystal of Al2HgCl relaxed with PBEsol.

Structure (POSCAR):
```
Al2HgCl
1.0
1.589 0.918 8.964
-1.589 0.918 8.964
0.000 -1.835 8.964
Al Hg Cl
2 1 1
Direct
0.245 0.245 0.245
0.755 0.755 0.755
0.000 0.000 0.000
0.500 0.500 0.500
```

Values from the calculation:
Formation energy from raw total energies in eV per atom: -0.018
Space group: R-3m

9.
VASP calculation (SCAN) on a crystal of Al2HgCl relaxed with PBEsol.

Structure (POSCAR):
```
Al2HgCl
1.0
-1.468 2.276 6.100
1.468 -2.276 6.100
1.468 2.276 -6.100
Al Hg Cl
2 1 1
Direct
0.000 0.000 0.000
0.802 0.302 0.500
0.596 0.596 0.000
0.308 0.808 0.500
```

Values from the calculation:
Formation energy from raw total energies in eV per atom: -0.077
Space group: Imm2

10.
VASP calculation (SCAN) on a crystal of AlHg2Cl relaxed with PBEsol.

Structure (POSCAR):
```
AlHg2Cl
1.0
0.000 3.580 3.580
3.580 0.000 3.580
3.580 3.580 0.000
Al Hg Cl
1 2 1
Direct
0.000 0.000 0.000
0.250 0.250 0.250
0.500 0.500 0.500
0.750 0.750 0.750
```

Values from the calculation:
Formation energy from raw total energies in eV per atom: -0.049
Space group: F-43m

11.
VASP calculation (SCAN) on a crystal of AlHg2Cl relaxed with PBEsol.

Structure (POSCAR):
```
AlHg2Cl
1.0
5.028 0.000 0.000
0.000 3.270 0.000
-2.258 0.000 5.610
Al Hg Cl
1 2 1
Direct
0.000 0.000 0.000
0.035 0.000 0.457
0.617 0.500 0.648
0.368 0.500 0.067
```

Values from the calculation:
Formation energy from raw total energies in eV per atom: -0.301
Space group: Pm

12.
VASP calculation (SCAN) on a crystal of AlHg2Cl relaxed with PBEsol.

Structure (POSCAR):
```
AlHg2Cl
1.0
3.157 0.000 0.000
0.000 3.157 0.000
0.000 0.000 9.276
Al Hg Cl
1 2 1
Direct
0.000 0.000 0.000
0.000 0.000 0.494
0.500 0.500 0.767
0.500 0.500 0.163
```

Values from the calculation:
Formation energy from raw total energies in eV per atom: -0.154
Space group: P4mm

13.
VASP calculation (SCAN) on a crystal of Al2HgCl relaxed with PBEsol.

Structure (POSCAR):
```
Al2HgCl
1.0
0.000 3.478 3.478
3.478 0.000 3.478
3.478 3.478 0.000
Al Hg Cl
2 1 1
Direct
0.000 0.000 0.000
0.250 0.250 0.250
0.750 0.750 0.750
0.500 0.500 0.500
```

Values from the calculation:
Formation energy from raw total energies in eV per atom: 0.245
Space group: F-43m

14.
VASP calculation (SCAN) on a crystal of AlHg2Cl relaxed with PBEsol.

Structure (POSCAR):
```
AlHg2Cl
1.0
-3.307 3.307 5.533
3.307 -3.307 5.533
3.307 3.307 -5.533
Al Hg Cl
2 4 2
Direct
0.000 0.000 0.000
0.750 0.250 0.500
0.093 0.625 0.968
0.375 0.343 0.468
0.657 0.125 0.032
0.875 0.907 0.532
0.250 0.750 0.500
0.500 0.500 0.000
```

Values from the calculation:
Formation energy from raw total energies in eV per atom: -0.133
Space group: I-42d

15.
VASP calculation (SCAN) on a crystal of Na2AlHgCl6 relaxed with PBEsol.

Structure (POSCAR):
```
Na2AlHgCl6
1.0
0.000 5.085 5.085
5.085 0.000 5.085
5.085 5.085 0.000
Na Al Hg Cl
2 1 1 6
Direct
0.250 0.250 0.250
0.750 0.750 0.750
0.000 0.000 0.000
0.500 0.500 0.500
0.228 0.228 0.772
0.228 0.772 0.228
0.228 0.772 0.772
0.772 0.228 0.228
0.772 0.228 0.772
0.772 0.772 0.228
```

Values from the calculation:
Formation energy from raw total energies in eV per atom: -1.347
Space group: Fm-3m

16.
VASP calculation (SCAN) on a crystal of AlHgSCl2 relaxed with PBEsol.

Structure (POSCAR):
```
AlHgSCl2
1.0
4.570 0.000 0.000
0.000 4.570 0.000
0.000 0.000 4.863
Al Hg S Cl
1 1 1 2
Direct
0.000 0.000 0.000
0.500 0.500 0.500
0.000 0.000 0.500
0.000 0.500 0.000
0.500 0.000 0.000
```

Values from the calculation:
Formation energy from raw total energies in eV per atom: -0.700
Space group: P4/mmm

17.
VASP calculation (SCAN) on a crystal of Na8Al6Si6IClO24 relaxed with PBEsol.

Structure (POSCAR):
```
Na8Al6Si6IClO24
1.0
8.970 0.000 0.000
0.000 8.970 0.000
0.000 0.000 8.970
Na Al Si I Cl O
8 6 6 1 1 24
Direct
0.181 0.181 0.181
0.181 0.819 0.819
0.307 0.307 0.693
0.307 0.693 0.307
0.693 0.307 0.307
0.693 0.693 0.693
0.819 0.181 0.819
0.819 0.819 0.181
0.000 0.250 0.500
0.000 0.750 0.500
0.250 0.500 0.000
0.500 0.000 0.250
0.500 0.000 0.750
0.750 0.500 0.000
0.000 0.500 0.249
0.000 0.500 0.751
0.249 0.000 0.500
0.500 0.249 0.000
0.500 0.751 0.000
0.751 0.000 0.500
0.500 0.500 0.500
0.000 0.000 0.000
0.058 0.359 0.651
0.058 0.641 0.349
0.140 0.440 0.149
0.140 0.560 0.851
0.149 0.140 0.440
0.149 0.860 0.560
0.349 0.058 0.641
0.349 0.942 0.359
0.359 0.349 0.942
0.359 0.651 0.058
0.440 0.149 0.140
0.440 0.851 0.860
0.560 0.149 0.860
0.560 0.851 0.140
0.641 0.349 0.058
0.641 0.651 0.942
0.651 0.058 0.359
0.651 0.942 0.641
0.851 0.140 0.560
0.851 0.860 0.440
0.860 0.440 0.851
0.860 0.560 0.149
0.942 0.359 0.349
0.942 0.641 0.651
```

Values from the calculation:
Formation energy from raw total energies in eV per atom: -2.918
Space group: P23

18.
VASP calculation (SCAN) on a crystal of AlSICl2 relaxed with PBEsol.

Structure (POSCAR):
```
AlSICl2
1.0
4.492 0.000 0.000
0.000 4.492 0.000
0.000 0.000 5.301
Al S I Cl
1 1 1 2
Direct
0.000 0.000 0.000
0.000 0.000 0.500
0.500 0.500 0.500
0.000 0.500 0.000
0.500 0.000 0.000
```

Values from the calculation:
Formation energy from raw total energies in eV per atom: -0.544
Space group: P4/mmm

19.
VASP calculation (SCAN) on a crystal of AlInCl2 relaxed with PBEsol.

Structure (POSCAR):
```
AlInCl2
1.0
3.161 0.000 0.000
0.000 3.866 0.000
0.000 0.000 7.479
Al In Cl
1 1 2
Direct
0.000 0.000 0.000
0.500 0.000 0.500
0.000 0.500 0.235
0.000 0.500 0.765
```

Values from the calculation:
Formation energy from raw total energies in eV per atom: -0.579
Space group: Pmmm

20.
VASP calculation (SCAN) on a crystal of AlInCl2 relaxed with PBEsol.

Structure (POSCAR):
```
AlInCl2
1.0
-1.654 2.411 6.440
1.654 -2.411 6.440
1.654 2.411 -6.440
Al In Cl
1 1 2
Direct
0.000 0.000 0.000
0.807 0.307 0.500
0.137 0.637 0.500
0.452 0.452 0.000
```

Values from the calculation:
Formation energy from raw total energies in eV per atom: -0.619
Space group: Imm2